VASP calculation (PBE-GGA) on Li2SnGeH after structural relaxation.

Properties
Total magnetization (μB per atom): 0.00
Energy (eV per atom): -3.3249
Crystal system: tetragonal
Density of states at the Fermi level (states/eV per cell): 0.60
Symmetry: P4/mmm (123)

Cell: 4.090 4.090 4.690 Å, 90.00 90.00 90.00°
Atoms (fractional coordinates):
Li  0.000  0.500  0.000
Li  0.500  0.000  0.000
Sn  0.000  0.000  0.500
Ge  0.500  0.500  0.500
H  0.000  0.000  0.000



VASP calculation (PBE-GGA) on LiSnGeH2 after structural relaxation.

Properties
Total magnetization (μB per atom): 0.00
Energy (eV per atom): -3.2202
Crystal system: tetragonal
Density of states at the Fermi level (states/eV per cell): 1.02
Symmetry: P4/mmm (123)

Cell: 3.711 3.711 5.862 Å, 90.00 90.00 90.00°
Atoms (fractional coordinates):
Li  0.000  0.000  0.000
Sn  0.500  0.500  0.000
Ge  0.500  0.500  0.500
H  0.000  0.500  0.500
H  0.500  0.000  0.500



VASP calculation (PBE-GGA) on Li2SnGeH after structural relaxation.

Properties
Total magnetization (μB per atom): 0.00
Energy (eV per atom): -3.3251
Crystal system: tetragonal
Density of states at the Fermi level (states/eV per cell): 1.18
Symmetry: P4/mmm (123)

Cell: 4.135 4.135 4.530 Å, 90.00 90.00 90.00°
Atoms (fractional coordinates):
Li  0.000  0.500  0.000
Li  0.500  0.000  0.000
Sn  0.000  0.000  0.500
Ge  0.500  0.500  0.500
H  0.500  0.500  0.000



VASP calculation (PBE-GGA) on SrLi2GeH after structural relaxation.

Properties
Total magnetization (μB per atom): 0.00
Energy (eV per atom): -3.1117
Crystal system: orthorhombic
Density of states at the Fermi level (states/eV per cell): 1.22
Symmetry: Cmcm (63)

Cell: 6.217 6.217 8.237 Å, 90.00 90.00 145.38°
Atoms (fractional coordinates):
Sr  0.042  0.958  0.750
Sr  0.958  0.042  0.250
Li  0.336  0.664  0.545
Li  0.336  0.664  0.955
Li  0.664  0.336  0.045
Li  0.664  0.336  0.455
Ge  0.234  0.766  0.250
Ge  0.766  0.234  0.750
H  0.500  0.500  0.000
H  0.500  0.500  0.500